Record 1
# AcMgTl, relaxed, DFT PBE-GGA
# total energy = -2.819 eV per atom
# E above lowest polymorph = 0.2058 eV/atom
# energy of formation = -0.1292 eV per atom
data_AcMgTl
_chemical_formula_sum 'Ac16 Mg16 Tl16'
_cell_length_a 9.0464
_cell_length_b 12.1175
_cell_length_c 14.4996
_cell_angle_alpha 90.00
_cell_angle_beta 90.00
_cell_angle_gamma 90.00
_symmetry_space_group_name_H-M 'F d d d'
_symmetry_Int_Tables_number 70
loop_
_symmetry_equiv_pos_as_xyz
'x,y,z'
'-x,-y,-z'
'-x+1/4,-y+1/4,z'
'x+1/4,y+1/4,-z'
'x,-y+1/4,-z+1/4'
'-x,y+1/4,z+1/4'
'-x+1/4,y,-z+1/4'
'x+1/4,-y,z+1/4'
'x,y+1/2,z+1/2'
'-x,-y+1/2,-z+1/2'
'-x+1/4,-y+3/4,z+1/2'
'x+1/4,y+3/4,-z+1/2'
'x,-y+3/4,-z+3/4'
'-x,y+3/4,z+3/4'
'-x+1/4,y+1/2,-z+3/4'
'x+1/4,-y+1/2,z+3/4'
'x+1/2,y,z+1/2'
'-x+1/2,-y,-z+1/2'
'-x+3/4,-y+1/4,z+1/2'
'x+3/4,y+1/4,-z+1/2'
'x+1/2,-y+1/4,-z+3/4'
'-x+1/2,y+1/4,z+3/4'
'-x+3/4,y,-z+3/4'
'x+3/4,-y,z+3/4'
'x+1/2,y+1/2,z'
'-x+1/2,-y+1/2,-z'
'-x+3/4,-y+3/4,z'
'x+3/4,y+3/4,-z'
'x+1/2,-y+3/4,-z+1/4'
'-x+1/2,y+3/4,z+1/4'
'-x+3/4,y+1/2,-z+1/4'
'x+3/4,-y+1/2,z+1/4'
loop_
_atom_site_label
_atom_site_fract_x
_atom_site_fract_y
_atom_site_fract_z
Ac1 0.0000 0.0000 0.0000
Mg1 0.1250 0.2505 0.6250
Tl1 0.1250 0.1250 0.4515

=====

Record 2
# PaCdSn2O8, relaxed, DFT PBE-GGA
# total energy = -6.573 eV per atom
data_PaCdSn2O8
_chemical_formula_sum 'Pa2 Cd2 Sn4 O16'
_cell_length_a 7.1477
_cell_length_b 7.1477
_cell_length_c 7.1427
_cell_angle_alpha 90.00
_cell_angle_beta 90.00
_cell_angle_gamma 90.00
_symmetry_space_group_name_H-M 'I -4 m 2'
_symmetry_Int_Tables_number 119
_symmetry_space_group_name_Hall 'I -4 -2'
loop_
_atom_site_label
_atom_site_fract_x
_atom_site_fract_y
_atom_site_fract_z
Pa1 0.0000 0.0000 0.0000
Cd1 0.0000 0.5000 0.2500
Sn1 0.0000 0.0000 0.5000
Sn2 0.0000 0.5000 0.7500
O1 0.0000 0.1852 0.2931
O2 0.0000 0.2971 0.9348

=====

Record 3
# Os2AuCl, relaxed, DFT PBE-GGA
# total energy = -5.564 eV per atom
# E above lowest polymorph = 1.0044 eV/atom
data_Os2AuCl
_chemical_formula_sum 'Os2 Au1 Cl1'
_cell_length_a 2.8163
_cell_length_b 2.8163
_cell_length_c 7.9796
_cell_angle_alpha 90.00
_cell_angle_beta 90.00
_cell_angle_gamma 90.00
_symmetry_space_group_name_H-M 'P 4/m m m'
_symmetry_Int_Tables_number 123
_symmetry_space_group_name_Hall '-P 4 2'
loop_
_atom_site_label
_atom_site_fract_x
_atom_site_fract_y
_atom_site_fract_z
Os1 0.0000 0.0000 0.2501
Au1 0.5000 0.5000 0.0000
Cl1 0.5000 0.5000 0.5000

=====

Record 4
# HfTlPS6, relaxed, DFT PBE-GGA
# total energy = -5.084 eV per atom
data_HfTlPS6
_chemical_formula_sum 'Hf1 Tl1 P1 S6'
_cell_length_a 6.3370
_cell_length_b 6.3370
_cell_length_c 5.7985
_cell_angle_alpha 90.00
_cell_angle_beta 90.00
_cell_angle_gamma 120.00
_symmetry_space_group_name_H-M 'P 3 1 2'
_symmetry_Int_Tables_number 149
loop_
_symmetry_equiv_pos_as_xyz
'x,y,z'
'-y,x-y,z'
'-x+y,-x,z'
'-y,-x,-z'
'-x+y,y,-z'
'x,x-y,-z'
loop_
_atom_site_label
_atom_site_fract_x
_atom_site_fract_y
_atom_site_fract_z
Hf1 0.0000 0.0000 0.0000
Tl1 0.3333 0.6667 0.5000
P1 0.6667 0.3333 0.0000
S1 0.3618 0.0610 0.7701

=====

Record 5
# Cr4InCu, relaxed, DFT PBE-GGA
# total energy = -7.110 eV per atom
# energy of formation = 0.4452 eV per atom
data_Cr4InCu
_chemical_formula_sum 'Cr16 In4 Cu4'
_cell_length_a 6.8794
_cell_length_b 6.8794
_cell_length_c 6.8794
_cell_angle_alpha 90.00
_cell_angle_beta 90.00
_cell_angle_gamma 90.00
_symmetry_space_group_name_H-M 'F -4 3 m'
_symmetry_Int_Tables_number 216
_symmetry_space_group_name_Hall 'F -4 2 3'
loop_
_atom_site_label
_atom_site_fract_x
_atom_site_fract_y
_atom_site_fract_z
Cr1 0.1221 0.1221 0.1221
In1 0.0000 0.0000 0.5000
Cu1 0.2500 0.2500 0.7500

=====

Record 6
# Zn6IrRh3, relaxed, DFT PBE-GGA
# total energy = -4.175 eV per atom
# energy of formation = -0.3194 eV per atom
data_Zn6IrRh3
_chemical_formula_sum 'Zn12 Ir2 Rh6'
_cell_length_a 7.4533
_cell_length_b 4.2739
_cell_length_c 9.0748
_cell_angle_alpha 90.00
_cell_angle_beta 105.38
_cell_angle_gamma 90.00
_symmetry_space_group_name_H-M 'P 1 21/m 1'
_symmetry_Int_Tables_number 11
loop_
_symmetry_equiv_pos_as_xyz
'x,y,z'
'-x,-y,-z'
'-x,y+1/2,-z'
'x,-y+1/2,z'
loop_
_atom_site_label
_atom_site_fract_x
_atom_site_fract_y
_atom_site_fract_z
Zn1 0.0426 0.2500 0.4015
Zn2 0.1415 0.7500 0.1935
Zn3 0.2480 0.2500 0.9928
Zn4 0.3438 0.7500 0.7983
Zn5 0.3475 0.2500 0.2957
Zn6 0.4409 0.2500 0.6015
Ir1 0.4463 0.7500 0.1042
Rh1 0.0459 0.7500 0.8981
Rh2 0.1484 0.2500 0.6959
Rh3 0.2591 0.7500 0.4891

=====

Record 7
# NbMo6W3, relaxed, DFT PBE-GGA
# total energy = -10.975 eV per atom
# E above lowest polymorph = 0.4768 eV/atom
# energy of formation = 0.4169 eV per atom
data_NbMo6W3
_chemical_formula_sum 'Nb2 Mo12 W6'
_cell_length_a 10.3636
_cell_length_b 3.0807
_cell_length_c 10.8800
_cell_angle_alpha 90.00
_cell_angle_beta 103.66
_cell_angle_gamma 90.00
_symmetry_space_group_name_H-M 'P 1 21/m 1'
_symmetry_Int_Tables_number 11
loop_
_symmetry_equiv_pos_as_xyz
'x,y,z'
'-x,-y,-z'
'-x,y+1/2,-z'
'x,-y+1/2,z'
loop_
_atom_site_label
_atom_site_fract_x
_atom_site_fract_y
_atom_site_fract_z
Nb1 0.0457 0.2500 0.2565
Mo1 0.1042 0.2500 0.9484
Mo2 0.2106 0.7500 0.4519
Mo3 0.2147 0.7500 0.1479
Mo4 0.2448 0.7500 0.7552
Mo5 0.4128 0.2500 0.5972
Mo6 0.4836 0.2500 0.1755
W1 0.0879 0.2500 0.5861
W2 0.3596 0.2500 0.3471
W3 0.3676 0.7500 0.9854

=====

Record 8
# Ba2InAsPt, relaxed, DFT PBE-GGA
# total energy = -3.909 eV per atom
# energy of formation = -0.4544 eV per atom
data_Ba2InAsPt
_chemical_formula_sum 'Ba2 In1 As1 Pt1'
_cell_length_a 6.3666
_cell_length_b 6.3666
_cell_length_c 4.6199
_cell_angle_alpha 90.00
_cell_angle_beta 90.00
_cell_angle_gamma 90.00
_symmetry_space_group_name_H-M 'P 4/m m m'
_symmetry_Int_Tables_number 123
_symmetry_space_group_name_Hall '-P 4 2'
loop_
_atom_site_label
_atom_site_fract_x
_atom_site_fract_y
_atom_site_fract_z
Ba1 0.0000 0.5000 0.0000
In1 0.0000 0.0000 0.5000
As1 0.5000 0.5000 0.0000
Pt1 0.5000 0.5000 0.5000